No. 1
Density functional theory data (GGA-PBE) for an optimized crystal structure of Hg2AuSe.

SG   Cm (8)
E_form (uncorrected)   0.121 eV per atom
Calculated volume   24.112 A^3/atom

abc: 6.422 6.422 6.337
angles: 59.08 59.08 25.73
Element x y z (fractional)
Hg 0.746 0.746 0.754
Hg 0.981 0.981 0.019
Se 0.528 0.528 0.472
Au 0.245 0.245 0.255



No. 2
Density functional theory data (GGA-PBE) for an optimized crystal structure of Hg2AuSe.

SG   R3m (160)
E_form (uncorrected)   0.035 eV per atom
Calculated volume   24.874 A^3/atom

abc: 6.971 6.971 6.971
angles: 35.00 35.00 35.00
Element x y z (fractional)
Se 0.483 0.483 0.483
Au 0.762 0.762 0.762
Hg 0.008 0.008 0.008
Hg 0.247 0.247 0.247



No. 3
Density functional theory data (GGA-PBE) for an optimized crystal structure of Hg2AuSe.

SG   Pmmm (47)
E_form (uncorrected)   0.178 eV per atom
Calculated volume   22.747 A^3/atom

abc: 2.850 3.941 8.101
angles: 90.00 90.00 90.00
Element x y z (fractional)
Se 0.500 0.500 0.250
Au 0.500 0.500 0.750
Hg 0.000 0.000 0.516
Hg 0.000 0.000 0.984



No. 4
Density functional theory data (GGA-PBE) for an optimized crystal structure of Hg2AuSe.

SG   P4/mmm (123)
E_form (uncorrected)   0.153 eV per atom
Calculated volume   24.989 A^3/atom

abc: 3.933 3.933 6.462
angles: 90.00 90.00 90.00
Element x y z (fractional)
Se 0.500 0.000 0.500
Hg 0.000 0.000 0.000
Hg 0.500 0.500 0.000
Au 0.000 0.500 0.500